Record 1
# NdTm3 | the Alexandria database | PBE | relaxed
data_NdTm3
_cell_length_a 3.611
_cell_length_b 5.622
_cell_length_c 6.244
_cell_angle_alpha 90.00
_cell_angle_beta 90.00
_cell_angle_gamma 90.00
_symmetry_space_group_name_H-M 'P m m 2'
_symmetry_Int_Tables_number 25
loop_
_symmetry_equiv_pos_as_xyz
'x,y,z'
'-x,-y,z'
'-x,y,z'
'x,-y,z'
loop_
_atom_site_label
_atom_site_type_symbol
_atom_site_fract_x
_atom_site_fract_y
_atom_site_fract_z
Nd1 Nd 0.000 0.000 0.000
Tm1 Tm 0.000 0.500 0.663
Tm2 Tm 0.500 0.000 0.497
Tm3 Tm 0.500 0.500 0.167
# Energy relative to the lowest polymorph listed for this composition ... 3.3 kJ/mol of formula units
# Calculated formation energy ... 0.018 eV/atom
# Mass density ... 8.528 g cm⁻³


Record 2
# SrCaMg2I | the Alexandria database | PBE | relaxed
data_SrCaMg2I
_cell_length_a 6.233
_cell_length_b 6.233
_cell_length_c 5.843
_cell_angle_alpha 90.00
_cell_angle_beta 90.00
_cell_angle_gamma 90.00
_symmetry_space_group_name_H-M 'P 4/m m m'
_symmetry_Int_Tables_number 123
_symmetry_space_group_name_Hall '-P 4 2'
loop_
_atom_site_label
_atom_site_type_symbol
_atom_site_fract_x
_atom_site_fract_y
_atom_site_fract_z
Sr1 Sr 0.000 0.000 0.000
Ca1 Ca 0.500 0.500 0.500
Mg1 Mg 0.000 0.500 0.500
I1 I 0.500 0.500 0.000
# E_form (uncorrected) ... 30 kJ/mol of formula units
# Mass density ... 2.218 g cm⁻³


Record 3
# Pa5In | the Alexandria database | PBE | relaxed
data_Pa5In
_cell_length_a 5.534
_cell_length_b 16.711
_cell_length_c 3.215
_cell_angle_alpha 90.00
_cell_angle_beta 90.00
_cell_angle_gamma 90.00
_symmetry_space_group_name_H-M 'C m m m'
_symmetry_Int_Tables_number 65
_symmetry_space_group_name_Hall '-C 2 2'
loop_
_atom_site_label
_atom_site_type_symbol
_atom_site_fract_x
_atom_site_fract_y
_atom_site_fract_z
Pa1 Pa 0.000 0.000 0.000
Pa2 Pa 0.000 0.159 0.500
Pa3 Pa 0.000 0.324 0.000
In1 In 0.000 0.500 0.500
# Energy relative to the lowest polymorph listed for this composition ... 2.5 kJ/mol of formula units
# Calculated formation energy ... 0.004 eV/atom
# Mass density ... 14.186 g cm⁻³


Record 4
# InOsSe2N | the Alexandria database | PBE | relaxed
data_InOsSe2N
_cell_length_a 5.212
_cell_length_b 5.212
_cell_length_c 3.697
_cell_angle_alpha 90.00
_cell_angle_beta 90.00
_cell_angle_gamma 90.00
_symmetry_space_group_name_H-M 'P 4/m m m'
_symmetry_Int_Tables_number 123
_symmetry_space_group_name_Hall '-P 4 2'
loop_
_atom_site_label
_atom_site_type_symbol
_atom_site_fract_x
_atom_site_fract_y
_atom_site_fract_z
In1 In 0.000 0.000 0.000
Os1 Os 0.500 0.500 0.500
Se1 Se 0.000 0.500 0.500
N1 N 0.500 0.500 0.000
# E_form (uncorrected) ... 108 kJ/mol of formula units
# Energy relative to the lowest polymorph listed for this composition ... 0.0 kJ/mol of formula units
# Mass density ... 7.886 g cm⁻³


Record 5
# SrLa | the Alexandria database | PBE | relaxed
data_SrLa
_cell_length_a 14.384
_cell_length_b 3.938
_cell_length_c 6.986
_cell_angle_alpha 90.00
_cell_angle_beta 117.28
_cell_angle_gamma 90.00
_symmetry_space_group_name_H-M 'C 1 2/m 1'
_symmetry_Int_Tables_number 12
loop_
_symmetry_equiv_pos_as_xyz
'x,y,z'
'-x,-y,-z'
'-x,y,-z'
'x,-y,z'
'x+1/2,y+1/2,z'
'-x+1/2,-y+1/2,-z'
'-x+1/2,y+1/2,-z'
'x+1/2,-y+1/2,z'
loop_
_atom_site_label
_atom_site_type_symbol
_atom_site_fract_x
_atom_site_fract_y
_atom_site_fract_z
Sr1 Sr 0.118 0.000 0.444
La1 La 0.140 0.500 0.969
# Energy relative to the lowest polymorph listed for this composition ... 15.0 kJ/mol of formula units
# Calculated formation energy ... 0.139 eV/atom
# Mass density ... 4.278 g cm⁻³


Record 6
# Pu2InSn | the Alexandria database | PBE | relaxed
data_Pu2InSn
_cell_length_a 3.3616
_cell_length_b 3.3616
_cell_length_c 32.8193
_cell_angle_alpha 90.00
_cell_angle_beta 90.00
_cell_angle_gamma 120.00
_symmetry_space_group_name_H-M 'R -3 m'
_symmetry_Int_Tables_number 166
_symmetry_space_group_name_Hall '-R 3 2"'
loop_
_atom_site_label
_atom_site_type_symbol
_atom_site_fract_x
_atom_site_fract_y
_atom_site_fract_z
Pu1 Pu 0.0000 0.0000 0.2489
In1 In 0.0000 0.0000 0.0000
Sn1 Sn 0.0000 0.0000 0.5000
# Calculated formation energy ... -0.073 eV/atom
# Mass density ... 11.191 g cm⁻³


Record 7
# K4Np3BiO12 | the Alexandria database | PBE | relaxed
data_K4Np3BiO12
_cell_length_a 8.663
_cell_length_b 8.663
_cell_length_c 8.663
_cell_angle_alpha 90.00
_cell_angle_beta 90.00
_cell_angle_gamma 90.00
_symmetry_space_group_name_H-M 'I m -3 m'
_symmetry_Int_Tables_number 229
_symmetry_space_group_name_Hall '-I 4 2 3'
loop_
_atom_site_label
_atom_site_type_symbol
_atom_site_fract_x
_atom_site_fract_y
_atom_site_fract_z
K1 K 0.250 0.250 0.250
Np1 Np 0.000 0.000 0.500
Bi1 Bi 0.000 0.000 0.000
O1 O 0.000 0.000 0.269
O2 O 0.000 0.250 0.500
# E_form (uncorrected) ... -4699 kJ/mol of formula units
# Mass density ... 6.480 g cm⁻³


Record 8
# Cr2RhWN | the Alexandria database | PBE | relaxed
data_Cr2RhWN
_cell_length_a 3.872
_cell_length_b 3.872
_cell_length_c 4.061
_cell_angle_alpha 90.00
_cell_angle_beta 90.00
_cell_angle_gamma 90.00
_symmetry_space_group_name_H-M 'P 4/m m m'
_symmetry_Int_Tables_number 123
_symmetry_space_group_name_Hall '-P 4 2'
loop_
_atom_site_label
_atom_site_type_symbol
_atom_site_fract_x
_atom_site_fract_y
_atom_site_fract_z
Cr1 Cr 0.000 0.500 0.000
Rh1 Rh 0.000 0.000 0.500
W1 W 0.500 0.500 0.500
N1 N 0.500 0.500 0.000
# E_form (uncorrected) ... -95 kJ/mol of formula units
# Mass density ... 11.037 g cm⁻³


Record 9
# NaLiTh2Se4 | the Alexandria database | PBE | relaxed
data_NaLiTh2Se4
_cell_length_a 7.136
_cell_length_b 4.108
_cell_length_c 7.420
_cell_angle_alpha 90.00
_cell_angle_beta 108.67
_cell_angle_gamma 90.00
_symmetry_space_group_name_H-M 'P 1 2/m 1'
_symmetry_Int_Tables_number 10
loop_
_symmetry_equiv_pos_as_xyz
'x,y,z'
'-x,-y,-z'
'-x,y,-z'
'x,-y,z'
loop_
_atom_site_label
_atom_site_type_symbol
_atom_site_fract_x
_atom_site_fract_y
_atom_site_fract_z
Na1 Na 0.000 0.000 0.000
Li1 Li 0.500 0.500 0.000
Th1 Th 0.000 0.500 0.500
Th2 Th 0.500 0.000 0.500
Se1 Se 0.253 0.500 0.246
Se2 Se 0.258 0.000 0.759
# E_form (uncorrected) ... -1133 kJ/mol of formula units
# Mass density ... 6.527 g cm⁻³


Record 10
# BSBr2 | the Alexandria database | PBE | relaxed
data_BSBr2
_cell_length_a 3.8852
_cell_length_b 3.8852
_cell_length_c 25.3263
_cell_angle_alpha 90.00
_cell_angle_beta 90.00
_cell_angle_gamma 120.00
_symmetry_space_group_name_H-M 'R -3 m'
_symmetry_Int_Tables_number 166
_symmetry_space_group_name_Hall '-R 3 2"'
loop_
_atom_site_label
_atom_site_type_symbol
_atom_site_fract_x
_atom_site_fract_y
_atom_site_fract_z
B1 B 0.0000 0.0000 0.0000
S1 S 0.0000 0.0000 0.5000
Br1 Br 0.0000 0.0000 0.0710
# E_form (uncorrected) ... 295 kJ/mol of formula units
# Energy relative to the lowest polymorph listed for this composition ... 0.0 kJ/mol of formula units
# Mass density ... 3.050 g cm⁻³


Record 11
# KAuSe2 | the Alexandria database | PBE | relaxed
data_KAuSe2
_cell_length_a 3.871
_cell_length_b 6.291
_cell_length_c 9.612
_cell_angle_alpha 90.00
_cell_angle_beta 90.00
_cell_angle_gamma 90.00
_symmetry_space_group_name_H-M 'I m m m'
_symmetry_Int_Tables_number 71
_symmetry_space_group_name_Hall '-I 2 2'
loop_
_atom_site_label
_atom_site_type_symbol
_atom_site_fract_x
_atom_site_fract_y
_atom_site_fract_z
K1 K 0.000 0.000 0.000
Au1 Au 0.000 0.000 0.500
Se1 Se 0.000 0.500 0.168
# E_form (uncorrected) ... -196 kJ/mol of formula units
# Mass density ... 5.591 g cm⁻³


Record 12
# RePt2Br | the Alexandria database | PBE | relaxed
data_RePt2Br
_cell_length_a 2.827
_cell_length_b 2.928
_cell_length_c 8.487
_cell_angle_alpha 90.00
_cell_angle_beta 90.07
_cell_angle_gamma 90.00
_symmetry_space_group_name_H-M 'P 1 2/m 1'
_symmetry_Int_Tables_number 10
loop_
_symmetry_equiv_pos_as_xyz
'x,y,z'
'-x,-y,-z'
'-x,y,-z'
'x,-y,z'
loop_
_atom_site_label
_atom_site_type_symbol
_atom_site_fract_x
_atom_site_fract_y
_atom_site_fract_z
Re1 Re 0.000 0.000 0.000
Pt1 Pt 0.499 0.500 0.787
Br1 Br 0.500 0.000 0.500
# E_form (uncorrected) ... 87 kJ/mol of formula units
# Energy relative to the lowest polymorph listed for this composition ... 0.0 kJ/mol of formula units
# Mass density ... 15.510 g cm⁻³


Which of these has the lowest mass density? SrCaMg2I


Which of these has the highest mass density? RePt2Br


What is the mass density in the fourth record? 7.886 g cm⁻³


Which formula does entry 3 have? Pa5In